1.
{
  "formula": "Be2ZnSb",
  "functional": "GGA-PBE",
  "state": "relaxed",
  "lattice": [[-2.763, -2.443, -0.966], [1.848, -0.843, -3.154], [2.936, -3.521, 0.505]],
  "species": ["Sb", "Zn", "Be", "Be"],
  "frac_coords": [[0.000, 0.484, 0.402], [0.500, 0.774, 0.843], [0.000, 0.185, 0.994], [0.500, 0.057, 0.262]],
  "energy_ev_per_atom": -2.8817,
  "magnetic_moment_mub_per_cell": 0.0,
  "e_above_lowest_polymorph_mev_per_atom": 0,
  "e_form_raw_ev_per_atom": 0.33
}

2.
{
  "formula": "BeZn2Sb2",
  "functional": "GGA-PBE",
  "state": "relaxed",
  "lattice": [[-1.046, 7.124, 0.945], [-4.988, -1.407, 5.087], [2.901, 0.047, 2.858]],
  "species": ["Sb", "Sb", "Sb", "Sb", "Zn", "Zn", "Zn", "Zn", "Be", "Be"],
  "frac_coords": [[0.306, 0.806, 0.000], [0.806, 0.694, 0.000], [0.694, 0.194, 0.000], [0.194, 0.306, 0.000], [0.122, 0.622, 0.500], [0.622, 0.878, 0.500], [0.878, 0.378, 0.500], [0.378, 0.122, 0.500], [0.000, 0.000, 0.000], [0.500, 0.500, 0.000]],
  "energy_ev_per_atom": -2.5202,
  "magnetic_moment_mub_per_cell": 0.0,
  "e_above_lowest_polymorph_mev_per_atom": 0,
  "e_form_raw_ev_per_atom": 0.38
}

3.
{
  "formula": "BeZn2Sb",
  "functional": "GGA-PBE",
  "state": "relaxed",
  "lattice": [[4.124, 0.000, 0.000], [0.000, 4.143, 0.005], [0.000, 0.804, 4.189]],
  "species": ["Sb", "Zn", "Zn", "Be"],
  "frac_coords": [[0.500, 0.750, 0.750], [0.000, 0.058, 0.051], [0.000, 0.442, 0.449], [0.500, 0.250, 0.250]],
  "energy_ev_per_atom": -2.2950,
  "magnetic_moment_mub_per_cell": 0.0,
  "e_above_lowest_polymorph_mev_per_atom": 62,
  "e_form_raw_ev_per_atom": 0.30
}